The following is a DFT calculation (PBE) of a relaxed BaZnInSn2 crystal.

Output
**Volume**: 149.88 Å³ per cell
**Mass density**: 6148 kg/m³
**Density of states at the Fermi level**: 1.8 states/eV/f.u.
**ΔE_f**: -0.319 eV per atom
**Space group**: No. 119

Lattice parameters (Å, degrees): 6.780 6.780 6.780 135.71 135.71 64.42
Atoms (fractional coordinates):
Ba 0.000 0.000 0.000
Zn 0.250 0.750 0.500
In 0.750 0.250 0.500
Sn 0.373 0.373 0.000
Sn 0.627 0.627 0.000

=====

The following is a DFT calculation (PBE) of a relaxed BaZnInSn2 crystal.

Output
**Volume**: 282.90 Å³ per cell
**Mass density**: 3257 kg/m³
**Density of states at the Fermi level**: 7.5 states/eV/f.u.
**ΔE_f**: 0.990 eV per atom
**Space group**: No. 123

Lattice parameters (Å, degrees): 6.540 6.540 6.614 90.00 90.00 90.00
Atoms (fractional coordinates):
Ba 0.000 0.000 0.000
Zn 0.500 0.500 0.500
In 0.000 0.000 0.500
Sn 0.000 0.500 0.000
Sn 0.500 0.000 0.000

=====

The following is a DFT calculation (PBE) of a relaxed Ba2Zn3InSn4 crystal.

Output
**Volume**: 276.52 Å³ per cell
**Mass density**: 6369 kg/m³
**Density of states at the Fermi level**: 2.4 states/eV/f.u.
**ΔE_f**: -0.387 eV per atom
**Space group**: No. 115

Lattice parameters (Å, degrees): 4.893 4.893 11.550 90.00 90.00 90.00
Atoms (fractional coordinates):
Ba 0.000 0.500 0.248
Ba 0.500 0.000 0.752
Zn 0.000 0.500 0.873
Zn 0.500 0.000 0.127
Zn 0.500 0.500 0.500
In 0.000 0.000 0.500
Sn 0.000 0.000 0.000
Sn 0.000 0.500 0.639
Sn 0.500 0.000 0.361
Sn 0.500 0.500 0.000

=====

The following is a DFT calculation (PBE) of a relaxed Ba2SrIn crystal.

Output
**Volume**: 205.86 Å³ per cell
**Mass density**: 3848 kg/m³
**Density of states at the Fermi level**: 4.6 states/eV/f.u.
**ΔE_f**: -0.099 eV per atom
**Space group**: No. 166

Lattice parameters (Å, degrees): 12.963 12.963 12.963 19.20 19.20 19.20
Atoms (fractional coordinates):
Ba 0.235 0.235 0.235
Ba 0.765 0.765 0.765
Sr 0.000 0.000 0.000
In 0.500 0.500 0.500

=====

The following is a DFT calculation (PBE) of a relaxed Ba12Sr3In crystal.

Output
**Volume**: 928.51 Å³ per cell
**Mass density**: 3623 kg/m³
**Density of states at the Fermi level**: 25.7 states/eV/f.u.
**ΔE_f**: -0.010 eV per atom
**Space group**: No. 123

Lattice parameters (Å, degrees): 6.135 6.135 24.671 90.00 90.00 90.00
Atoms (fractional coordinates):
Ba 0.000 0.000 0.000
Ba 0.000 0.000 0.235
Ba 0.000 0.000 0.500
Ba 0.000 0.000 0.765
Ba 0.000 0.500 0.103
Ba 0.000 0.500 0.369
Ba 0.000 0.500 0.631
Ba 0.000 0.500 0.897
Ba 0.500 0.000 0.103
Ba 0.500 0.000 0.369
Ba 0.500 0.000 0.631
Ba 0.500 0.000 0.897
Sr 0.500 0.500 0.237
Sr 0.500 0.500 0.500
Sr 0.500 0.500 0.763
In 0.500 0.500 0.000

=====

The following is a DFT calculation (PBE) of a relaxed Ba4SrIn crystal.

Output
**Volume**: 326.58 Å³ per cell
**Mass density**: 3822 kg/m³
**Density of states at the Fermi level**: 7.7 states/eV/f.u.
**ΔE_f**: -0.132 eV per atom
**Space group**: No. 123

Lattice parameters (Å, degrees): 4.342 4.342 17.319 90.00 90.00 90.00
Atoms (fractional coordinates):
Ba 0.000 0.000 0.116
Ba 0.000 0.000 0.884
Ba 0.500 0.500 0.318
Ba 0.500 0.500 0.682
Sr 0.000 0.000 0.500
In 0.500 0.500 0.000

=====

The following is a DFT calculation (PBE) of a relaxed BaSrIn3 crystal.

Output
**Volume**: 241.19 Å³ per cell
**Mass density**: 3920 kg/m³
**Density of states at the Fermi level**: 2.9 states/eV/f.u.
**ΔE_f**: 0.442 eV per atom
**Space group**: No. 221

Lattice parameters (Å, degrees): 6.225 6.225 6.225 90.00 90.00 90.00
Atoms (fractional coordinates):
Ba 0.000 0.000 0.000
Sr 0.500 0.500 0.500
In 0.000 0.000 0.500
In 0.000 0.500 0.000
In 0.500 0.000 0.000

=====

The following is a DFT calculation (PBE) of a relaxed BaSrIn3 crystal.

Output
**Volume**: 224.44 Å³ per cell
**Mass density**: 4213 kg/m³
**Density of states at the Fermi level**: 3.9 states/eV/f.u.
**ΔE_f**: 0.206 eV per atom
**Space group**: No. 221

Lattice parameters (Å, degrees): 6.077 6.077 6.077 90.00 90.00 90.00
Atoms (fractional coordinates):
Ba 0.000 0.000 0.000
Sr 0.500 0.500 0.500
In 0.000 0.500 0.500
In 0.500 0.000 0.500
In 0.500 0.500 0.000

=====

The following is a DFT calculation (PBE) of a relaxed BaSr5In6 crystal.

Output
**Volume**: 416.03 Å³ per cell
**Mass density**: 5046 kg/m³
**Density of states at the Fermi level**: 8.4 states/eV/f.u.
**ΔE_f**: -0.423 eV per atom
**Space group**: No. 65

Lattice parameters (Å, degrees): 9.181 9.181 8.253 90.00 90.00 143.27
Atoms (fractional coordinates):
Ba 0.000 0.000 0.000
Sr 0.000 0.000 0.500
Sr 0.333 0.667 0.000
Sr 0.335 0.665 0.500
Sr 0.665 0.335 0.500
Sr 0.667 0.333 0.000
In 0.170 0.830 0.262
In 0.170 0.830 0.738
In 0.500 0.500 0.264
In 0.500 0.500 0.736
In 0.830 0.170 0.262
In 0.830 0.170 0.738

=====

The following is a DFT calculation (PBE) of a relaxed BaSrIn4 crystal.

Output
**Volume**: 192.07 Å³ per cell
**Mass density**: 5915 kg/m³
**Density of states at the Fermi level**: 1.7 states/eV/f.u.
**ΔE_f**: -0.458 eV per atom
**Space group**: No. 44

Lattice parameters (Å, degrees): 6.597 6.597 6.597 133.19 100.41 97.75
Atoms (fractional coordinates):
Ba 0.000 0.000 0.000
Sr 0.410 0.910 0.500
In 0.424 0.610 0.813
In 0.602 0.287 0.315
In 0.797 0.610 0.187
In 0.973 0.287 0.685

=====

The following is a DFT calculation (PBE) of a relaxed Ba3Sr2In2 crystal.

Output
**Volume**: 306.72 Å³ per cell
**Mass density**: 4422 kg/m³
**Density of states at the Fermi level**: 7.6 states/eV/f.u.
**ΔE_f**: -0.251 eV per atom
**Space group**: No. 12

Lattice parameters (Å, degrees): 5.984 5.984 10.463 106.60 106.60 60.15
Atoms (fractional coordinates):
Ba 0.000 0.000 0.000
Ba 0.136 0.136 0.408
Ba 0.864 0.864 0.592
Sr 0.391 0.391 0.174
Sr 0.609 0.609 0.826
In 0.260 0.260 0.783
In 0.740 0.740 0.217

=====

The following is a DFT calculation (PBE) of a relaxed Ba2SrIn crystal.

Output
**Volume**: 410.87 Å³ per cell
**Mass density**: 3856 kg/m³
**Density of states at the Fermi level**: 5.8 states/eV/f.u.
**ΔE_f**: -0.015 eV per atom
**Space group**: No. 122

Lattice parameters (Å, degrees): 8.301 8.301 8.301 101.71 101.71 126.44
Atoms (fractional coordinates):
Ba 0.067 0.625 0.942
Ba 0.375 0.317 0.442
Ba 0.683 0.125 0.058
Ba 0.875 0.933 0.558
Sr 0.250 0.750 0.500
Sr 0.500 0.500 0.000
In 0.000 0.000 0.000
In 0.750 0.250 0.500